This record from Alexandria describes a PBEsol-optimized structure of LaZrGaPd2. The functional is meta-GGA SCAN.

Cell: 4.8683 4.8683 5.1144 Å, 90.00 90.00 90.00°
With the nearest neighbours (Å) after each atom.
Space group P4/mmm (No. 123)
Inequivalent atoms, fractional coordinates:
La 0.0000 0.0000 0.0000 [1 per cell]  4 Ga 3.44, 8 Pd 3.53
Zr 0.5000 0.5000 0.5000 [1 per cell]  4 Pd 2.43, 2 Ga 2.56
Ga 0.5000 0.5000 0.0000 [1 per cell]  2 Zr 2.56
Pd 0.0000 0.5000 0.5000 [2 per cell]  2 Zr 2.43

## Properties
Final energy in eV/atom: -31.2790
Crystal system: tetragonal
Density of states at the Fermi level in states/eV/atom: 0.668
ΔH_f (0 K) in eV/atom: -0.14


This record from Alexandria describes a PBEsol-optimized structure of CsTlCl2. The functional is meta-GGA SCAN.

Cell: 5.0400 5.0400 27.9098 Å, 90.00 90.00 120.00°
With the nearest neighbours (Å) after each atom.
Space group R-3m (No. 166, hexagonal axes)
Inequivalent atoms, fractional coordinates:
Cs 0.0000 0.0000 0.0000 [3 per cell]  6 Cl 3.44
Tl 0.0000 0.0000 0.5000 [3 per cell]  2 Cl 2.82
Cl 0.0000 0.0000 0.3988 [6 per cell]  1 Tl 2.82

## Properties
Formation energy from raw total energies in kJ/mol of atoms: -133
Final energy in eV/atom: -32.9064
Crystal system: trigonal
Density of states at the Fermi level in states/eV/atom: 0.000
Distance to the lowest polymorph of the same formula in eV per formula unit: 0.92


This record from Alexandria describes a PBEsol-optimized structure of In2AgPt. The functional is meta-GGA SCAN.

Cell: 3.1182 3.1182 26.6361 Å, 90.00 90.00 120.00°
With the nearest neighbours (Å) after each atom.
Space group R-3m (No. 166, hexagonal axes)
Inequivalent atoms, fractional coordinates:
In 0.0000 0.0000 0.2466 [6 per cell]  3 Pt 2.79, 3 Ag 2.93, 6 In 3.12
Ag 0.0000 0.0000 0.0000 [3 per cell]  6 In 2.93, 6 Ag 3.12
Pt 0.0000 0.0000 0.5000 [3 per cell]  6 In 2.79, 6 Pt 3.12

## Properties
Final energy in eV/atom: -42.1679
Crystal system: trigonal
Density of states at the Fermi level in states/eV/atom: 0.405
ΔH_f (0 K) in eV/atom: -0.08
Distance to the lowest polymorph of the same formula in eV per formula unit: 0.59


This record from Alexandria describes a PBEsol-optimized structure of RbHfTaTi2. The functional is meta-GGA SCAN.

Cell: 4.5388 4.5388 4.9528 Å, 90.00 90.00 90.00°
With the nearest neighbours (Å) after each atom.
Space group P4/mmm (No. 123)
Inequivalent atoms, fractional coordinates:
Rb 0.0000 0.0000 0.0000 [1 per cell]  4 Ti 2.27, 2 Ta 2.48
Hf 0.5000 0.5000 0.5000 [1 per cell]  4 Ta 3.21, 8 Ti 3.36
Ta 0.0000 0.0000 0.5000 [1 per cell]  2 Rb 2.48
Ti 0.0000 0.5000 0.0000 [2 per cell]  2 Rb 2.27

## Properties
Final energy in eV/atom: -34.1745
Crystal system: tetragonal
Density of states at the Fermi level in states/eV/atom: 1.335
ΔH_f (0 K) in eV/atom: 2.24


This record from Alexandria describes a PBEsol-optimized structure of ZrCuAs3. The functional is meta-GGA SCAN.

Cell: 4.5997 4.5997 4.5997 Å, 90.00 90.00 90.00°
With the nearest neighbours (Å) after each atom.
Space group Pm-3m (No. 221)
Inequivalent atoms, fractional coordinates:
Zr 0.0000 0.0000 0.0000 [1 per cell]  12 As 3.25
Cu 0.5000 0.5000 0.5000 [1 per cell]  6 As 2.30
As 0.0000 0.5000 0.5000 [3 per cell]  2 Cu 2.30

## Properties
Final energy in eV/atom: -20.9971
Crystal system: cubic
Density of states at the Fermi level in states/eV/atom: 0.611
ΔH_f (0 K) in eV/atom: 0.30


This record from Alexandria describes a PBEsol-optimized structure of BaCu2Ru. The functional is meta-GGA SCAN.

Cell: 4.0310 4.0310 8.5493 Å, 90.00 90.00 90.00°
With the nearest neighbours (Å) after each atom.
Space group I4/mmm (No. 139)
Inequivalent atoms, fractional coordinates:
Ba 0.0000 0.0000 0.0000 [2 per cell]  4 Ru 2.85, 8 Cu 2.94
Cu 0.0000 0.5000 0.2500 [4 per cell]  4 Cu 2.85, 4 Ba 2.94, 4 Ru 2.94
Ru 0.0000 0.0000 0.5000 [2 per cell]  4 Ba 2.85, 8 Cu 2.94

## Properties
Final energy in eV/atom: -25.2902
Crystal system: tetragonal
Density of states at the Fermi level in states/eV/atom: 0.838
ΔH_f (0 K) in eV/atom: 0.90
Distance to the lowest polymorph of the same formula in eV per formula unit: 2.79